(P)
This record from Alexandria describes a relaxed structure of PaBePt2. The functional is PBE.

## Properties
ρ = 16.1 g/cm3
total moment = 0.00 μB per cell
SG = P4/mmm, No. 123

Cell lengths 3.0667, 3.0667, 6.9199 Å; angles 90.00, 90.00, 90.00 degrees
Closest atoms and distances in Å follow each position.
Element x y z (fractional)
Pt1 0.0000 0.0000 0.1981  4 Be 2.57, 1 Pt 2.74
Pt2 0.0000 0.0000 0.8019  4 Be 2.57, 1 Pt 2.74
Pa1 0.5000 0.5000 0.5000  8 Pt 3.01, 4 Pa 3.07
Be1 0.5000 0.5000 0.0000  8 Pt 2.57



(Q)
This record from Alexandria describes a relaxed structure of PaBePt2. The functional is PBE.

## Properties
ρ = 14.8 g/cm3
total moment = 0.00 μB per cell
SG = R-3m, No. 166

Cell lengths 4.0480, 4.0480, 5.5059 Å; angles 68.43, 68.43, 60.00 degrees
Closest atoms and distances in Å follow each position.
Element x y z (fractional)
Be1 0.5000 0.5000 0.5000  6 Pt 2.47
Pa1 0.0000 0.0000 0.0000  6 Pt 2.89
Pt1 0.2201 0.2201 0.3396  3 Be 2.47
Pt2 0.7799 0.7799 0.6604  3 Be 2.47



The energy of each structure relative to the most stable one, in meV/atom, is as follows: (P) 150; (Q) 0.



(P)
This record from Alexandria describes a relaxed structure of PaBeRh2. The functional is PBE.

## Properties
ρ = 11.0 g/cm3
total moment = 0.01 μB per cell
SG = Fm-3m, No. 225

Cell lengths 4.5670, 4.5670, 4.5670 Å; angles 60.00, 60.00, 60.00 degrees
Closest atoms and distances in Å follow each position.
Element x y z (fractional)
Be1 0.5000 0.5000 0.5000  8 Rh 2.80
Rh1 0.2500 0.2500 0.2500  4 Pa 2.80, 4 Be 2.80
Pa1 0.0000 0.0000 0.0000  8 Rh 2.80
Rh2 0.7500 0.7500 0.7500  4 Pa 2.80, 4 Be 2.80



(Q)
This record from Alexandria describes a relaxed structure of PaBeRh2. The functional is PBE.

## Properties
ρ = 11.2 g/cm3
total moment = 0.00 μB per cell
SG = Cmmm, No. 65

Cell lengths 3.8693, 3.9808, 8.7743 Å; angles 103.11, 90.00, 90.00 degrees
Closest atoms and distances in Å follow each position.
Element x y z (fractional)
Rh1 0.5000 0.3020 0.6040  1 Be 2.21
Be1 0.5000 0.4313 0.8626  5 Rh 2.21-2.31, 1 Be 2.35
Pa1 0.0000 0.8644 0.7288  8 Rh 2.97-3.05, 4 Be 3.00
Rh2 0.0000 0.5000 0.0000  4 Be 2.26
Rh3 0.5000 0.0000 0.0000  4 Be 2.31
Be2 0.5000 0.5687 0.1374  5 Rh 2.21-2.31, 1 Be 2.35
Rh4 0.5000 0.6980 0.3960  1 Be 2.21
Pa2 0.0000 0.1356 0.2712  8 Rh 2.97-3.05, 4 Be 3.00



(R)
This record from Alexandria describes a relaxed structure of PaBeRh2. The functional is PBE.

## Properties
ρ = 11.3 g/cm3
total moment = 0.00 μB per cell
SG = R-3m, No. 166

Cell lengths 3.8748, 3.8748, 5.5082 Å; angles 69.41, 69.41, 60.00 degrees
Closest atoms and distances in Å follow each position.
Element x y z (fractional)
Rh1 0.2232 0.2232 0.3305  3 Be 2.39
Pa1 0.0000 0.0000 0.0000  6 Rh 2.79
Rh2 0.7768 0.7768 0.6695  3 Be 2.39
Be1 0.5000 0.5000 0.5000  6 Rh 2.39



(S)
This record from Alexandria describes a relaxed structure of PaBeRh2. The functional is PBE.

## Properties
ρ = 11.4 g/cm3
total moment = 0.00 μB per cell
SG = P4/mmm, No. 123

Cell lengths 3.7062, 4.1834, 4.1834 Å; angles 90.00, 90.00, 90.00 degrees
Closest atoms and distances in Å follow each position.
Element x y z (fractional)
Rh1 0.0000 0.5000 0.0000  4 Pa 2.79, 4 Be 2.79, 4 Rh 2.96
Rh2 0.0000 0.0000 0.5000  4 Pa 2.79, 4 Be 2.79, 4 Rh 2.96
Pa1 0.5000 0.0000 0.0000  8 Rh 2.79, 4 Be 2.96
Be1 0.5000 0.5000 0.5000  8 Rh 2.79, 4 Pa 2.96



The energy of each structure relative to the most stable one, in meV/atom, is as follows: (P) 258; (Q) 40; (R) 0; (S) 162.



(P)
This record from Alexandria describes a relaxed structure of PaBeRh3. The functional is PBE.

## Properties
ρ = 11.9 g/cm3
total moment = 0.00 μB per cell
SG = Pm-3m, No. 221

Cell lengths 4.2524, 4.2524, 4.2524 Å; angles 90.00, 90.00, 90.00 degrees
Closest atoms and distances in Å follow each position.
Element x y z (fractional)
Rh1 0.0000 0.0000 0.5000  2 Be 2.13
Be1 0.0000 0.0000 0.0000  6 Rh 2.13
Rh2 0.0000 0.5000 0.0000  2 Be 2.13
Pa1 0.5000 0.5000 0.5000  12 Rh 3.01
Rh3 0.5000 0.0000 0.0000  2 Be 2.13



(Q)
This record from Alexandria describes a relaxed structure of PaBeRh3. The functional is PBE.

## Properties
ρ = 11.7 g/cm3
total moment = 0.00 μB per cell
SG = I4/m, No. 87

Cell lengths 5.4661, 5.4664, 6.5035 Å; angles 65.15, 65.15, 90.00 degrees
Closest atoms and distances in Å follow each position.
Element x y z (fractional)
Rh1 0.7317 0.9429 0.3720  1 Be 2.21
Pa1 0.8015 0.5130 0.2318  8 Rh 2.83-2.96, 4 Be 3.11
Rh2 0.2312 0.5831 0.7316  2 Be 2.30-2.31
Rh3 0.8720 0.9428 0.7319  2 Be 2.30-2.31
Rh4 0.3717 0.0835 0.7317  2 Be 2.30
Pa2 0.3017 0.0130 0.2318  8 Rh 2.83-2.96, 4 Be 3.11
Rh5 0.3715 0.5831 0.0916  1 Be 2.21
Be1 0.9432 0.1545 0.9488  5 Rh 2.21-2.31, 1 Be 2.27
Be2 0.1600 0.3714 0.5147  5 Rh 2.21-2.31, 1 Be 2.27
Rh6 0.7315 0.4425 0.7319  2 Be 2.30



The energy of each structure relative to the most stable one, in meV/atom, is as follows: (P) 0; (Q) 71.



(P)
This record from Alexandria describes a relaxed structure of PaBeRu. The functional is PBE.

## Properties
ρ = 11.6 g/cm3
total moment = 0.00 μB per cell
SG = Pnma, No. 62

Cell lengths 4.2892, 6.4740, 7.0066 Å; angles 90.00, 90.00, 90.00 degrees
Closest atoms and distances in Å follow each position.
Element x y z (fractional)
Pa1 0.2500 0.6716 0.9772  4 Ru 2.75-2.91, 6 Be 2.94-3.07
Ru1 0.2500 0.0557 0.1450  4 Be 2.38-2.46
Be1 0.7500 0.8915 0.1916  4 Ru 2.38-2.46
Pa2 0.7500 0.1716 0.5228  4 Ru 2.75-2.91, 6 Be 2.94-3.07
Ru2 0.2500 0.4443 0.6450  4 Be 2.38-2.46
Pa3 0.2500 0.8284 0.4772  4 Ru 2.75-2.91, 6 Be 2.94-3.07
Be2 0.2500 0.1085 0.8084  4 Ru 2.38-2.46
Be3 0.2500 0.3915 0.3084  4 Ru 2.38-2.46
Be4 0.7500 0.6085 0.6916  4 Ru 2.38-2.46
Pa4 0.7500 0.3284 0.0228  4 Ru 2.75-2.91, 6 Be 2.94-3.07
Ru3 0.7500 0.9443 0.8550  4 Be 2.38-2.46
Ru4 0.7500 0.5557 0.3550  4 Be 2.38-2.46



(Q)
This record from Alexandria describes a relaxed structure of PaBeRu. The functional is PBE.

## Properties
ρ = 10.2 g/cm3
total moment = 0.00 μB per cell
SG = R3m, No. 160

Cell lengths 3.6823, 3.6823, 5.1648 Å; angles 69.12, 69.12, 60.00 degrees
Closest atoms and distances in Å follow each position.
Element x y z (fractional)
Pa1 0.3332 0.3332 0.0004  4 Be 2.73-2.90, 4 Ru 2.77-2.93
Be1 0.5265 0.5265 0.4205  3 Ru 2.33
Ru1 0.1257 0.1257 0.6230  3 Be 2.33



The energy of each structure relative to the most stable one, in meV/atom, is as follows: (P) 0; (Q) 506.